A relaxed structure of CdHg3Bi2. Source: the Alexandria database, functional PBE.

Results
Its formation energy is 28 kJ/mol of formula units. The space group is C2/c. For the magnetic moment, the calculation gives 0.00 μB per formula unit.

Cell: 7.3044 7.3044 7.2965 Å, 79.80 79.80 107.57°
Fractional positions:
1 Cd 0.6398 0.8602 0.7500
2 Cd 0.3602 0.1398 0.2500
3 Hg 0.9600 0.2012 0.4156
4 Hg 0.2988 0.5400 0.0844
5 Hg 0.0400 0.7988 0.5844
6 Hg 0.7012 0.4600 0.9156
7 Hg 0.1194 0.3806 0.7500
8 Hg 0.8806 0.6194 0.2500
9 Bi 0.2078 0.9619 0.9488
10 Bi 0.5380 0.2922 0.5512
11 Bi 0.7922 0.0381 0.0512
12 Bi 0.4620 0.7078 0.4488